Compound: Tb8CdAg2
Source: Alexandria via LeMat-Bulk
Functional: PBE-GGA
Structure: relaxed

The value obtained for the total energy is -90.1 eV per cell. For the volume, the calculation gives 28.75 Å³/atom. As for the formation energy: -1.4 eV per formula unit. For the magnetic moment, the calculation gives 0.00 μB/f.u.

Cell lengths 17.898, 5.221, 7.102 Å; angles 90.00, 107.61, 90.00 degrees
Space group C2/m (No. 12)
Unique sites:
Tb (0.029, 0.000, 0.269)
Tb (0.093, 0.500, 0.966)
Tb (0.171, 0.500, 0.474)
Tb (0.194, 0.000, 0.810)
Cd (0.000, 0.500, 0.500)
Ag (0.184, 0.000, 0.211)

=====

Compound: TbCdAg2
Source: Alexandria via LeMat-Bulk
Functional: PBE-GGA
Structure: relaxed

The value obtained for the total energy is -49.3 eV per cell. For the volume, the calculation gives 21.56 Å³/atom. As for the formation energy: -1.1 eV per formula unit. For the magnetic moment, the calculation gives 0.00 μB/f.u.

Cell lengths 7.013, 7.013, 7.013 Å; angles 90.00, 90.00, 90.00 degrees
Space group Fm-3m (No. 225)
Unique sites:
Tb (0.000, 0.000, 0.000)
Cd (0.000, 0.000, 0.500)
Ag (0.250, 0.250, 0.250)

=====

Compound: Tb4CdAg3
Source: Alexandria via LeMat-Bulk
Functional: PBE-GGA
Structure: relaxed

The value obtained for the total energy is -30.5 eV per cell. For the volume, the calculation gives 24.87 Å³/atom. As for the formation energy: -2.5 eV per formula unit. For the magnetic moment, the calculation gives 0.00 μB/f.u.

Cell lengths 3.670, 5.213, 10.398 Å; angles 90.00, 90.00, 90.00 degrees
Space group Pmmm (No. 47)
Unique sites:
Tb (0.000, 0.000, 0.000)
Tb (0.000, 0.000, 0.500)
Tb (0.000, 0.500, 0.244)
Cd (0.500, 0.500, 0.500)
Ag (0.500, 0.000, 0.253)
Ag (0.500, 0.500, 0.000)